(1)
CdMoP3 (GGA-PBE, optimized geometry); DFT formation energy = 42.8 kJ/mol of atoms; symmetry = No. 221
1.0
4.7344 0.0000 0.0000
0.0000 4.7344 0.0000
0.0000 0.0000 4.7344
P Cd Mo
3 1 1
Cartesian
0.0000 0.0000 2.3672
2.3672 0.0000 0.0000
0.0000 2.3672 0.0000
2.3672 2.3672 2.3672
0.0000 0.0000 0.0000

(2)
CdMoP2 (GGA-PBE, optimized geometry); DFT formation energy = 36.4 kJ/mol of atoms; symmetry = No. 12
1.0
4.4123 0.0477 0.0106
-0.0488 4.4123 0.0106
-0.0034 -0.0035 3.2491
Cd Mo P
1 1 2
Cartesian
2.2044 0.0221 1.6298
-0.0261 2.2044 1.6298
0.0000 0.0000 0.0000
2.1817 2.2300 0.0106